# 1
Entry from Alexandria via LeMat-Bulk: an optimized crystal structure of RbAgSnCl4 (GGA-PBE).

formation energy without anion corrections	-1.097	eV/atom
M_tot	0.000	μB per atom
space group	P2_1/m, No. 11
energy	-3.27	eV per atom

The structure in POSCAR format:
```
RbAgSnCl4
1.0
7.6075 0.0000 0.0104
0.0000 7.6687 0.0000
-2.9789 0.0000 8.4469
Cl Rb Ag Sn
8 2 2 2
Direct
0.0292 0.0094 0.2764
0.5102 0.7500 0.1828
0.4734 0.2500 0.4046
0.9708 0.5094 0.7236
0.4898 0.2500 0.8172
0.9708 0.9906 0.7236
0.5266 0.7500 0.5954
0.0292 0.4906 0.2764
0.7669 0.7500 0.9649
0.2331 0.2500 0.0351
0.2575 0.7500 0.3099
0.7425 0.2500 0.6901
0.8049 0.7500 0.4923
0.1951 0.2500 0.5077
```

# 2
Entry from Alexandria via LeMat-Bulk: an optimized crystal structure of Rb2Ag2SnCl6 (GGA-PBE).

formation energy without anion corrections	-1.143	eV/atom
M_tot	0.000	μB per atom
space group	C2/m, No. 12
energy	-3.21	eV per atom

The structure in POSCAR format:
```
Rb2Ag2SnCl6
1.0
-2.3643 -7.0261 -2.3311
6.4283 3.2002 -3.2125
0.9516 -2.7153 7.2190
Cl Ag Sn Rb
6 2 1 2
Direct
0.6853 0.8769 0.1915
0.2699 0.5398 0.3918
0.7301 0.4602 0.6082
0.3147 0.1231 0.8085
0.8083 0.1231 0.8085
0.1917 0.8769 0.1915
0.9374 0.8747 0.7827
0.0626 0.1253 0.2173
0.5000 0.0000 0.5000
0.2672 0.5345 0.8150
0.7328 0.4655 0.1850
```

# 3
Entry from Alexandria via LeMat-Bulk: an optimized crystal structure of Rb2AgSnCl6 (GGA-PBE).

formation energy without anion corrections	-1.261	eV/atom
M_tot	0.000	μB per atom
energy above the most stable polymorph in this dataset	0.026	eV/atom
space group	P4/mmm, No. 123
energy	-3.25	eV per atom

The structure in POSCAR format:
```
Rb2AgSnCl6
1.0
5.3087 0.0000 0.0000
0.0000 5.3087 0.0000
0.0000 0.0000 10.9278
Rb Sn Cl Ag
2 1 6 1
Direct
0.0000 0.0000 0.7058
0.0000 0.0000 0.2942
0.5000 0.5000 0.0000
0.0000 0.5000 0.0000
0.0000 0.5000 0.5000
0.5000 0.0000 0.0000
0.5000 0.5000 0.2412
0.5000 0.0000 0.5000
0.5000 0.5000 0.7588
0.5000 0.5000 0.5000
```

# 4
Entry from Alexandria via LeMat-Bulk: an optimized crystal structure of Rb3Ag2SnCl9 (GGA-PBE).

formation energy without anion corrections	-1.228	eV/atom
M_tot	0.000	μB per atom
space group	P-3m1, No. 164
energy	-3.18	eV per atom

The structure in POSCAR format:
```
Rb3Ag2SnCl9
1.0
-2.0207 -2.6208 -6.7340
-1.0952 -4.1785 6.1351
-8.3372 3.7281 1.0509
Cl Rb Ag Sn
9 3 2 1
Direct
0.3153 0.1577 0.6579
0.1577 0.3153 0.3421
0.0000 0.5000 0.0000
0.6847 0.8424 0.3421
0.8424 0.1577 0.6579
0.5000 0.0000 0.0000
0.5000 0.5000 0.0000
0.8424 0.6847 0.6579
0.1577 0.8424 0.3421
0.6667 0.3333 0.2837
0.0000 0.0000 0.0000
0.3333 0.6667 0.7163
0.6667 0.3333 0.8412
0.3333 0.6667 0.1588
0.0000 0.0000 0.5000
```

# 5
Entry from Alexandria via LeMat-Bulk: an optimized crystal structure of RbAg2SnCl8 (GGA-PBE).

formation energy without anion corrections	-0.863	eV/atom
M_tot	0.000	μB per atom
space group	P-1, No. 2
energy	-2.98	eV per atom

The structure in POSCAR format:
```
RbAg2SnCl8
1.0
-5.8496 -2.4012 -3.1023
-0.9831 -3.5939 5.4686
-5.8775 3.7737 5.5584
Cl Rb Ag Sn
8 1 2 1
Direct
0.3240 0.1854 0.9957
0.4925 0.7854 0.4785
0.0196 0.6986 0.2712
0.1544 0.7886 0.8592
0.5075 0.2146 0.5215
0.8456 0.2114 0.1408
0.9804 0.3014 0.7288
0.6760 0.8146 0.0043
0.0000 0.0000 0.5000
0.6086 0.5713 0.3009
0.3914 0.4287 0.6991
0.0000 0.0000 0.0000
```

# 6
Entry from Alexandria via LeMat-Bulk: an optimized crystal structure of Rb2Ag2SnCl7 (GGA-PBE).

formation energy without anion corrections	-0.985	eV/atom
M_tot	0.000	μB per atom
space group	I4/mmm, No. 139
energy	-3.03	eV per atom

The structure in POSCAR format:
```
Rb2Ag2SnCl7
1.0
-3.8696 -2.7695 2.0425
1.1974 -3.9648 -3.1084
6.7390 -7.9995 8.4856
Ag Cl Sn Rb
2 7 1 2
Direct
0.5981 0.5981 0.8038
0.4019 0.4019 0.1962
0.5000 0.5000 0.0000
0.4215 0.9215 0.1570
0.0785 0.5785 0.8430
0.9215 0.4215 0.1570
0.6964 0.6964 0.6073
0.3036 0.3036 0.3927
0.5785 0.0785 0.8430
0.0000 0.0000 0.0000
0.8224 0.8224 0.3551
0.1776 0.1776 0.6449
```

# 7
Entry from Alexandria via LeMat-Bulk: an optimized crystal structure of RbSr3Ag4Cl12 (GGA-PBE).

formation energy without anion corrections	-1.446	eV/atom
M_tot	0.040	μB per atom
space group	R32, No. 155
energy	-3.42	eV per atom

The structure in POSCAR format:
```
RbSr3Ag4Cl12
1.0
9.3815 -0.1406 -0.1953
-2.3969 9.0712 -0.1953
-2.3969 -3.0646 8.5401
Cl Sr Ag Rb
12 3 4 1
Direct
0.5000 0.0940 0.9060
0.0940 0.9060 0.5000
0.9956 0.2380 0.3483
0.3345 0.6655 0.5000
0.6655 0.5000 0.3345
0.3483 0.9956 0.2380
0.7620 0.0044 0.6517
0.5000 0.3345 0.6655
0.9060 0.5000 0.0940
0.6517 0.7620 0.0044
0.2380 0.3483 0.9956
0.0044 0.6517 0.7620
0.5623 0.4377 0.0000
0.4377 0.0000 0.5623
0.0000 0.5623 0.4377
0.5000 0.5000 0.5000
0.5000 0.9193 0.0807
0.0807 0.5000 0.9193
0.9193 0.0807 0.5000
0.0000 0.0000 0.0000
```

# 8
Entry from Alexandria via LeMat-Bulk: an optimized crystal structure of Rb2SrAgCl6 (GGA-PBE).

formation energy without anion corrections	-1.575	eV/atom
M_tot	0.097	μB per atom
space group	I4/mmm, No. 139
energy	-3.33	eV per atom

The structure in POSCAR format:
```
Rb2SrAgCl6
1.0
-2.5817 6.9892 -2.2634
-7.2787 -2.1081 1.7927
-4.2472 4.2984 4.7223
Cl Sr Rb Ag
6 1 2 1
Direct
0.7566 0.7566 0.0000
0.7666 0.7666 0.4669
0.2334 0.2334 0.5331
0.7566 0.2434 0.0000
0.2434 0.2434 0.0000
0.2434 0.7566 0.0000
0.5000 0.5000 0.0000
0.2500 0.7500 0.5000
0.7500 0.2500 0.5000
0.0000 0.0000 0.0000
```

# 9
Entry from Alexandria via LeMat-Bulk: an optimized crystal structure of RbSrAgCl4 (GGA-PBE).

formation energy without anion corrections	-1.722	eV/atom
M_tot	0.000	μB per atom
space group	P2_1/m, No. 11
energy	-3.56	eV per atom

The structure in POSCAR format:
```
RbSrAgCl4
1.0
-5.9060 -4.0242 0.9125
2.4816 -4.7165 -4.7382
6.4798 -2.6134 5.9952
Cl Sr Rb Ag
8 2 2 2
Direct
0.4539 0.7500 0.1490
0.0248 0.5086 0.7101
0.9752 0.4914 0.2899
0.5461 0.2500 0.8510
0.9752 0.0086 0.2899
0.4845 0.7500 0.5962
0.5155 0.2500 0.4038
0.0248 0.9914 0.7101
0.2206 0.2500 0.5520
0.7794 0.7500 0.4480
0.7459 0.7500 0.9483
0.2541 0.2500 0.0517
0.7616 0.2500 0.6842
0.2384 0.7500 0.3158
```

# 10
Entry from Alexandria via LeMat-Bulk: an optimized crystal structure of Rb3SrAg2Cl9 (GGA-PBE).

formation energy without anion corrections	-1.406	eV/atom
M_tot	0.000	μB per atom
space group	P-3m1, No. 164
energy	-3.20	eV per atom

The structure in POSCAR format:
```
Rb3SrAg2Cl9
1.0
-1.2060 6.9414 -2.5380
-5.2875 -3.5021 3.9821
3.6356 3.5327 7.9343
Rb Ag Cl Sr
3 2 9 1
Direct
0.6667 0.3333 0.3052
0.0000 0.0000 0.0000
0.3333 0.6667 0.6948
0.6667 0.3333 0.8470
0.3333 0.6667 0.1530
0.3418 0.1709 0.6865
0.8291 0.6582 0.6865
0.0000 0.5000 0.0000
0.5000 0.5000 0.0000
0.6582 0.8291 0.3135
0.1709 0.8291 0.3135
0.5000 0.0000 0.0000
0.1709 0.3418 0.3135
0.8291 0.1709 0.6865
0.0000 0.0000 0.5000
```

# 11
Entry from Alexandria via LeMat-Bulk: an optimized crystal structure of RbSrAg2Cl8 (GGA-PBE).

formation energy without anion corrections	-1.050	eV/atom
M_tot	0.077	μB per atom
space group	I-4, No. 82
energy	-2.98	eV per atom

The structure in POSCAR format:
```
RbSrAg2Cl8
1.0
-4.6024 -2.1592 -5.3047
0.9734 -7.0011 2.0051
-3.0790 5.0598 5.7002
Ag Cl Rb Sr
2 8 1 1
Direct
0.5000 0.5000 0.0000
0.2500 0.7500 0.5000
0.7817 0.3317 0.9601
0.5843 0.7229 0.5342
0.1887 0.4157 0.4658
0.6683 0.8216 0.0399
0.1784 0.6284 0.9601
0.3716 0.2183 0.0399
0.9499 0.8113 0.5342
0.2771 0.0501 0.4658
0.7500 0.2500 0.5000
0.0000 0.0000 0.0000
```

# 12
Entry from Alexandria via LeMat-Bulk: an optimized crystal structure of Rb2SrAgCl (GGA-PBE).

formation energy without anion corrections	-0.520	eV/atom
M_tot	0.000	μB per atom
space group	P4/mmm, No. 123
energy	-2.18	eV per atom

The structure in POSCAR format:
```
Rb2SrAgCl
1.0
6.3178 0.0000 0.0000
0.0000 5.8870 0.0000
0.0000 0.0000 6.3178
Rb Ag Sr Cl
2 1 1 1
Direct
0.5000 0.0000 0.0000
0.0000 0.0000 0.5000
0.5000 0.5000 0.5000
0.0000 0.5000 0.0000
0.0000 0.0000 0.0000
```